Entry 1:
A plane-wave DFT calculation with PBE was carried out for a relaxed Pr3Nd2HoSe6 crystal.

Structure (extended XYZ):
```
12
Lattice="9.1984 -2.0971 0.0000 9.1984 2.0971 0.0000 -1.9850 0.0000 8.2679" Properties=species:S:1:pos:R:3 pbc="T T T"
Pr 0.0000 0.0000 0.0000
Pr 4.7392 0.0000 5.5074
Pr 11.6727 0.0000 2.7605
Nd 5.7776 0.0000 1.3572
Nd 10.6343 0.0000 6.9106
Ho -0.9925 0.0000 4.1339
Se 1.7901 0.0000 4.8119
Se 2.9001 0.0000 0.6733
Se 7.7266 0.0000 6.0872
Se 8.6853 0.0000 2.1806
Se 13.5117 0.0000 7.5945
Se 14.6218 0.0000 3.4560
```

Results
space group = C2/m
energy relative to the elements, uncorrected = -1.822 eV/atom


Entry 2:
A plane-wave DFT calculation with PBE was carried out for a relaxed Pr3Nd4HoSe8 crystal.

Structure (extended XYZ):
```
16
Lattice="4.2291 2.4417 6.8892 -4.2291 2.4417 6.8892 0.0000 -4.8833 6.8892" Properties=species:S:1:pos:R:3 pbc="T T T"
Pr -2.1145 -1.2208 6.8892
Pr -2.1145 1.2208 13.7783
Pr 0.0000 2.4417 6.8892
Nd -4.2291 0.0000 10.3338
Nd -2.1145 1.2208 3.4446
Nd 2.1145 1.2208 3.4446
Nd 0.0000 0.0000 10.3338
Ho 0.0000 0.0000 0.0000
Se -2.1763 -1.2565 12.0856
Se 0.0000 -2.5130 8.5820
Se -2.1763 1.2565 8.5820
Se 0.0000 0.0000 5.1453
Se 0.0000 0.0000 15.5222
Se 2.1763 -1.2565 12.0856
Se 0.0000 2.5130 12.0856
Se 2.1763 1.2565 8.5819
```

Results
space group = R-3m
energy relative to the elements, uncorrected = -1.817 eV/atom


Entry 3:
A plane-wave DFT calculation with PBE was carried out for a relaxed PrNdHo2Se6 crystal.

Structure (extended XYZ):
```
10
Lattice="3.6773 2.1231 6.5052 -3.6773 2.1231 6.5052 0.0000 -4.2462 6.5052" Properties=species:S:1:pos:R:3 pbc="T T T"
Pr 0.0000 0.0000 0.0000
Nd 0.0000 0.0000 9.7290
Ho 0.0000 0.0000 5.8069
Ho 0.0000 0.0000 15.5813
Se -2.2024 -0.1615 7.6664
Se -1.4613 -2.2587 10.9207
Se 1.2411 -1.8266 7.6664
Se -1.2255 2.3949 10.9207
Se 0.9613 1.9881 7.6664
Se 2.6868 -0.1361 10.9207
```

Results
space group = R3
energy relative to the elements, uncorrected = -1.843 eV/atom